TbSm2HfAs4 after structural relaxation. Source: Alexandria, functional PBE-GGA.

POSCAR file:
```
TbSm2HfAs4
1.0
7.076 0.000 0.000
0.000 4.083 0.000
-2.336 0.000 6.688
Tb Sm Hf As
1 2 1 4
direct
0.000 0.000 0.000
0.000 0.500 0.500
0.500 0.000 0.500
0.500 0.500 0.000
0.256 0.500 0.238
0.265 0.000 0.769
0.735 0.000 0.231
0.744 0.500 0.762
```

As for the total magnetization: 0.00 μB per formula unit. As for the formation energy from the elements: -1394 meV per atom.